Entry 1:
## BeGeAs3 (PBE)

Data for a relaxed structure of BeGeAs3.

```
data_BeGeAs3
_chemical_formula_sum 'Be1 Ge1 As3'
_cell_length_a 4.5422
_cell_length_b 4.5422
_cell_length_c 4.5422
_cell_angle_alpha 90.00
_cell_angle_beta 90.00
_cell_angle_gamma 90.00
_symmetry_space_group_name_H-M 'P m -3 m'
_symmetry_Int_Tables_number 221
_symmetry_space_group_name_Hall '-P 4 2 3'
loop_
_atom_site_label
_atom_site_fract_x
_atom_site_fract_y
_atom_site_fract_z
Be1 0.0000 0.0000 0.0000
Ge1 0.5000 0.5000 0.5000
As1 0.0000 0.0000 0.5000
```

Computed properties:
- density (g/cm3) = 5.430
- polymorph energy (0 for the lowest one) (meV/atom) = 0.0
- ΔH_f (0 K) (eV/f.u.) = 2.635
- calculated total energy (eV per atom) = -3.93
- crystal system = cubic

=====

Entry 2:
## BeGe2As (PBE)

Data for a relaxed structure of BeGe2As.

```
data_BeGe2As
_chemical_formula_sum 'Be4 Ge8 As4'
_cell_length_a 5.5242
_cell_length_b 5.5242
_cell_length_c 10.8718
_cell_angle_alpha 90.00
_cell_angle_beta 90.00
_cell_angle_gamma 90.00
_symmetry_space_group_name_H-M 'I -4 2 d'
_symmetry_Int_Tables_number 122
_symmetry_space_group_name_Hall 'I -4 2bw'
loop_
_atom_site_label
_atom_site_fract_x
_atom_site_fract_y
_atom_site_fract_z
Be1 0.0000 0.0000 0.0000
Ge1 0.2117 0.2500 0.1250
As1 0.0000 0.0000 0.5000
```

Computed properties:
- density (g/cm3) = 4.589
- polymorph energy (0 for the lowest one) (meV/atom) = 0.0
- ΔH_f (0 K) (eV/f.u.) = 0.711
- calculated total energy (eV per atom) = -4.22
- crystal system = tetragonal

=====

Entry 3:
## BeGe2As3 (PBE)

Data for a relaxed structure of BeGe2As3.

```
data_BeGe2As3
_chemical_formula_sum 'Be2 Ge4 As6'
_cell_length_a 3.9432
_cell_length_b 12.0530
_cell_length_c 5.5790
_cell_angle_alpha 90.00
_cell_angle_beta 90.00
_cell_angle_gamma 90.00
_symmetry_space_group_name_H-M 'I m m 2'
_symmetry_Int_Tables_number 44
loop_
_symmetry_equiv_pos_as_xyz
'x,y,z'
'-x,-y,z'
'-x,y,z'
'x,-y,z'
'x+1/2,y+1/2,z+1/2'
'-x+1/2,-y+1/2,z+1/2'
'-x+1/2,y+1/2,z+1/2'
'x+1/2,-y+1/2,z+1/2'
loop_
_atom_site_label
_atom_site_fract_x
_atom_site_fract_y
_atom_site_fract_z
Be1 0.0000 0.0000 0.0000
Ge1 0.0000 0.3374 0.9801
As1 0.0000 0.1526 0.7622
As2 0.0000 0.5000 0.6947
```

Computed properties:
- density (g/cm3) = 4.748
- ΔH_f (0 K) (eV/f.u.) = -0.175
- calculated total energy (eV per atom) = -4.51
- crystal system = orthorhombic

=====

Entry 4:
## BeGeAs (PBE)

Data for a relaxed structure of BeGeAs.

```
data_BeGeAs
_chemical_formula_sum 'Be4 Ge4 As4'
_cell_length_a 20.9771
_cell_length_b 3.5379
_cell_length_c 2.8621
_cell_angle_alpha 90.00
_cell_angle_beta 96.76
_cell_angle_gamma 90.00
_symmetry_space_group_name_H-M 'C 1 2/m 1'
_symmetry_Int_Tables_number 12
loop_
_symmetry_equiv_pos_as_xyz
'x,y,z'
'-x,-y,-z'
'-x,y,-z'
'x,-y,z'
'x+1/2,y+1/2,z'
'-x+1/2,-y+1/2,-z'
'-x+1/2,y+1/2,-z'
'x+1/2,-y+1/2,z'
loop_
_atom_site_label
_atom_site_fract_x
_atom_site_fract_y
_atom_site_fract_z
Be1 0.1176 0.0000 0.2668
Ge1 0.0643 0.5000 0.6953
As1 0.1862 0.5000 0.4286
```

Computed properties:
- density (g/cm3) = 4.930
- ΔH_f (0 K) (eV/f.u.) = 0.888
- calculated total energy (eV per atom) = -4.04
- crystal system = monoclinic

=====

Entry 5:
## BeGe2As (PBE)

Data for a relaxed structure of BeGe2As.

```
data_BeGe2As
_chemical_formula_sum 'Be4 Ge8 As4'
_cell_length_a 6.4929
_cell_length_b 6.4929
_cell_length_c 6.4929
_cell_angle_alpha 90.00
_cell_angle_beta 90.00
_cell_angle_gamma 90.00
_symmetry_space_group_name_H-M 'F m -3 m'
_symmetry_Int_Tables_number 225
_symmetry_space_group_name_Hall '-F 4 2 3'
loop_
_atom_site_label
_atom_site_fract_x
_atom_site_fract_y
_atom_site_fract_z
Be1 0.0000 0.0000 0.0000
Ge1 0.2500 0.2500 0.2500
As1 0.0000 0.0000 0.5000
```

Computed properties:
- density (g/cm3) = 5.562
- polymorph energy (0 for the lowest one) (meV/atom) = 417.8
- ΔH_f (0 K) (eV/f.u.) = 2.382
- calculated total energy (eV per atom) = -3.81
- crystal system = cubic

=====

Entry 6:
## Be2NiGeAs (PBE)

Data for a relaxed structure of Be2NiGeAs.

```
data_Be2NiGeAs
_chemical_formula_sum 'Be2 Ni1 Ge1 As1'
_cell_length_a 4.1780
_cell_length_b 4.1780
_cell_length_c 4.3610
_cell_angle_alpha 90.00
_cell_angle_beta 90.00
_cell_angle_gamma 90.00
_symmetry_space_group_name_H-M 'P 4/m m m'
_symmetry_Int_Tables_number 123
_symmetry_space_group_name_Hall '-P 4 2'
loop_
_atom_site_label
_atom_site_fract_x
_atom_site_fract_y
_atom_site_fract_z
Be1 0.0000 0.5000 0.0000
Ni1 0.0000 0.0000 0.0000
Ge1 0.0000 0.0000 0.5000
As1 0.5000 0.5000 0.5000
```

Computed properties:
- density (g/cm3) = 4.892
- ΔH_f (0 K) (eV/f.u.) = 2.294
- calculated total energy (eV per atom) = -4.04
- crystal system = tetragonal